(1)
# GGA-PBEsol Zn2AgP, relaxed
data_Zn2AgP
_chemical_formula_sum 'Zn4 Ag2 P2'
_cell_length_a 3.8564
_cell_length_b 3.8669
_cell_length_c 8.1220
_cell_angle_alpha 90.00
_cell_angle_beta 90.00
_cell_angle_gamma 90.00
_space_group_name_H-M_alt 'I m m 2'
_space_group_IT_number 44
loop_
_space_group_symop_operation_xyz
'x,y,z'
'-x,-y,z'
'-x,y,z'
'x,-y,z'
'x+1/2,y+1/2,z+1/2'
'-x+1/2,-y+1/2,z+1/2'
'-x+1/2,y+1/2,z+1/2'
'x+1/2,-y+1/2,z+1/2'
loop_
_atom_site_label
_atom_site_fract_x
_atom_site_fract_y
_atom_site_fract_z
Zn1 0.0000 0.0000 0.0000
Zn2 0.0000 0.5000 0.2497
Ag1 0.0000 0.5000 0.7507
P1 0.0000 0.0000 0.5013
# **Calculated total energy**: -11.65 eV/f.u.

---

(2)
# GGA-PBEsol LiTc2Sb, relaxed
data_LiTc2Sb
_chemical_formula_sum 'Li4 Tc8 Sb4'
_cell_length_a 3.7910
_cell_length_b 3.7910
_cell_length_c 18.4269
_cell_angle_alpha 90.00
_cell_angle_beta 90.00
_cell_angle_gamma 90.00
_space_group_name_H-M_alt 'I -4 2 d'
_space_group_IT_number 122
_space_group_name_Hall 'I -4 2bw'
loop_
_atom_site_label
_atom_site_fract_x
_atom_site_fract_y
_atom_site_fract_z
Li1 0.0000 0.0000 0.0000
Tc1 0.1822 0.2500 0.1250
Sb1 0.0000 0.0000 0.5000
# **E_form (uncorrected)**: 0.3750 eV/atom
# **Calculated total energy**: -27.56 eV/f.u.

---

(3)
# GGA-PBEsol Sr5Zr3F22, relaxed
data_Sr5Zr3F22
_chemical_formula_sum 'Sr10 Zr6 F44'
_cell_length_a 7.5987
_cell_length_b 10.2776
_cell_length_c 10.2637
_cell_angle_alpha 90.00
_cell_angle_beta 90.00
_cell_angle_gamma 90.00
_space_group_name_H-M_alt 'P 21 21 2'
_space_group_IT_number 18
loop_
_space_group_symop_operation_xyz
'x,y,z'
'-x,-y,z'
'x+1/2,-y+1/2,-z'
'-x+1/2,y+1/2,-z'
loop_
_atom_site_label
_atom_site_fract_x
_atom_site_fract_y
_atom_site_fract_z
Sr1 0.0000 0.0000 0.0180
Sr2 0.0000 0.0000 0.4613
Sr3 0.0000 0.5000 0.9381
Sr4 0.2352 0.7055 0.2544
Zr1 0.0000 0.5000 0.5389
Zr2 0.2465 0.7880 0.7737
F1 0.0104 0.7981 0.8753
F2 0.0276 0.3427 0.1243
F3 0.0629 0.1583 0.2936
F4 0.0660 0.8478 0.6350
F5 0.0885 0.3895 0.3710
F6 0.0906 0.6107 0.7069
F7 0.2131 0.3915 0.6008
F8 0.2143 0.6076 0.4738
F9 0.2163 0.9837 0.8306
F10 0.2362 0.8864 0.1135
F11 0.2402 0.1527 0.0755
# **E_form (uncorrected)**: -3.9066 eV/atom
# **Calculated total energy**: -196.07 eV/f.u.

---

(4)
# GGA-PBEsol MgZn2P2H24O20, relaxed
data_MgZn2P2H24O20
_chemical_formula_sum 'Mg2 Zn4 P4 H48 O40'
_cell_length_a 10.7463
_cell_length_b 6.8402
_cell_length_c 11.7332
_cell_angle_alpha 90.00
_cell_angle_beta 105.81
_cell_angle_gamma 90.00
_space_group_name_H-M_alt 'P 1 21/c 1'
_space_group_IT_number 14
loop_
_space_group_symop_operation_xyz
'x,y,z'
'-x,-y,-z'
'-x,y+1/2,-z+1/2'
'x,-y+1/2,z+1/2'
loop_
_atom_site_label
_atom_site_fract_x
_atom_site_fract_y
_atom_site_fract_z
Mg1 0.0000 0.0000 0.0000
Zn1 0.4297 0.2092 0.1138
P1 0.3621 0.1353 0.8408
H1 0.0251 0.6540 0.8686
H2 0.0442 0.1468 0.4126
H3 0.0731 0.5183 0.7303
H4 0.1061 0.0340 0.7085
H5 0.1728 0.6189 0.3829
H6 0.1805 0.2439 0.9586
H7 0.1961 0.0774 0.1956
H8 0.2010 0.7464 0.0005
H9 0.2903 0.6144 0.1605
H10 0.3356 0.7429 0.8238
H11 0.3834 0.7454 0.1054
H12 0.3886 0.5199 0.8118
O1 0.0103 0.0306 0.6762
O2 0.0903 0.2458 0.9667
O3 0.1234 0.5159 0.6689
O4 0.1283 0.6796 0.4386
O5 0.2643 0.5314 0.2909
O6 0.3143 0.6435 0.0860
O7 0.3304 0.2271 0.9502
O8 0.3461 0.2000 0.2440
O9 0.4074 0.6476 0.8551
O10 0.4969 0.5633 0.6287
# **Calculated total energy**: -267.27 eV/f.u.

---

(5)
# GGA-PBEsol Al3PtPb, relaxed
data_Al3PtPb
_chemical_formula_sum 'Al3 Pt1 Pb1'
_cell_length_a 4.7918
_cell_length_b 4.7918
_cell_length_c 4.7918
_cell_angle_alpha 90.00
_cell_angle_beta 90.00
_cell_angle_gamma 90.00
_space_group_name_H-M_alt 'P m -3 m'
_space_group_IT_number 221
_space_group_name_Hall '-P 4 2 3'
loop_
_atom_site_label
_atom_site_fract_x
_atom_site_fract_y
_atom_site_fract_z
Al1 0.0000 0.0000 0.5000
Pt1 0.0000 0.0000 0.0000
Pb1 0.5000 0.5000 0.5000
# **Calculated total energy**: -23.84 eV/f.u.

---

(6)
# GGA-PBEsol LaY2Tl, relaxed
data_LaY2Tl
_chemical_formula_sum 'La3 Y6 Tl3'
_cell_length_a 3.5797
_cell_length_b 3.5797
_cell_length_c 32.1650
_cell_angle_alpha 90.00
_cell_angle_beta 90.00
_cell_angle_gamma 120.00
_space_group_name_H-M_alt 'R -3 m'
_space_group_IT_number 166
_space_group_name_Hall '-R 3 2"'
loop_
_atom_site_label
_atom_site_fract_x
_atom_site_fract_y
_atom_site_fract_z
La1 0.0000 0.0000 0.0000
Y1 0.0000 0.0000 0.2437
Tl1 0.0000 0.0000 0.5000
# **Energy above the lowest structure with this stoichiometry**: 73 meV/atom
# **Calculated total energy**: -22.27 eV/f.u.

---

(7)
# GGA-PBEsol TiTePdI2, relaxed
data_TiTePdI2
_chemical_formula_sum 'Ti1 Te1 Pd1 I2'
_cell_length_a 5.2490
_cell_length_b 5.2490
_cell_length_c 5.3590
_cell_angle_alpha 90.00
_cell_angle_beta 90.00
_cell_angle_gamma 90.00
_space_group_name_H-M_alt 'P 4/m m m'
_space_group_IT_number 123
_space_group_name_Hall '-P 4 2'
loop_
_atom_site_label
_atom_site_fract_x
_atom_site_fract_y
_atom_site_fract_z
Ti1 0.0000 0.0000 0.0000
Te1 0.5000 0.5000 0.0000
Pd1 0.5000 0.5000 0.5000
I1 0.0000 0.5000 0.5000
# **E_form (uncorrected)**: 0.4066 eV/atom
# **Energy above the lowest structure with this stoichiometry**: 132 meV/atom
# **Calculated total energy**: -19.31 eV/f.u.

---

(8)
# GGA-PBEsol MnCrFe2, relaxed
data_MnCrFe2
_chemical_formula_sum 'Mn2 Cr2 Fe4'
_cell_length_a 2.8549
_cell_length_b 3.9223
_cell_length_c 7.7830
_cell_angle_alpha 90.00
_cell_angle_beta 90.00
_cell_angle_gamma 90.00
_space_group_name_H-M_alt 'I m m 2'
_space_group_IT_number 44
loop_
_space_group_symop_operation_xyz
'x,y,z'
'-x,-y,z'
'-x,y,z'
'x,-y,z'
'x+1/2,y+1/2,z+1/2'
'-x+1/2,-y+1/2,z+1/2'
'-x+1/2,y+1/2,z+1/2'
'x+1/2,-y+1/2,z+1/2'
loop_
_atom_site_label
_atom_site_fract_x
_atom_site_fract_y
_atom_site_fract_z
Mn1 0.0000 0.0000 0.0000
Cr1 0.0000 0.5000 0.7445
Fe1 0.0000 0.0000 0.4942
Fe2 0.0000 0.5000 0.2453
# **Calculated total energy**: -37.51 eV/f.u.

---

(9)
# GGA-PBEsol LaZr2Cr, relaxed
data_LaZr2Cr
_chemical_formula_sum 'La2 Zr4 Cr2'
_cell_length_a 3.2943
_cell_length_b 5.1053
_cell_length_c 10.4894
_cell_angle_alpha 90.00
_cell_angle_beta 90.00
_cell_angle_gamma 90.00
_space_group_name_H-M_alt 'I m m m'
_space_group_IT_number 71
_space_group_name_Hall '-I 2 2'
loop_
_atom_site_label
_atom_site_fract_x
_atom_site_fract_y
_atom_site_fract_z
La1 0.0000 0.0000 0.0000
Zr1 0.0000 0.5000 0.2181
Cr1 0.0000 0.0000 0.5000
# **Energy above the lowest structure with this stoichiometry**: 0 meV/atom
# **Calculated total energy**: -32.34 eV/f.u.

---

(10)
# GGA-PBEsol Ba2SrGa2, relaxed
data_Ba2SrGa2
_chemical_formula_sum 'Ba4 Sr2 Ga4'
_cell_length_a 5.7351
_cell_length_b 5.7351
_cell_length_c 11.7745
_cell_angle_alpha 90.00
_cell_angle_beta 90.00
_cell_angle_gamma 90.00
_space_group_name_H-M_alt 'I 4/m m m'
_space_group_IT_number 139
_space_group_name_Hall '-I 4 2'
loop_
_atom_site_label
_atom_site_fract_x
_atom_site_fract_y
_atom_site_fract_z
Ba1 0.0000 0.0000 0.1417
Sr1 0.0000 0.0000 0.5000
Ga1 0.0000 0.5000 0.2500
# **Energy above the lowest structure with this stoichiometry**: 236 meV/atom
# **Calculated total energy**: -12.79 eV/f.u.

---

(11)
# GGA-PBEsol Be3NbNi, relaxed
data_Be3NbNi
_chemical_formula_sum 'Be3 Nb1 Ni1'
_cell_length_a 3.8315
_cell_length_b 3.8315
_cell_length_c 3.8315
_cell_angle_alpha 90.00
_cell_angle_beta 90.00
_cell_angle_gamma 90.00
_space_group_name_H-M_alt 'P m -3 m'
_space_group_IT_number 221
_space_group_name_Hall '-P 4 2 3'
loop_
_atom_site_label
_atom_site_fract_x
_atom_site_fract_y
_atom_site_fract_z
Be1 0.0000 0.0000 0.5000
Nb1 0.5000 0.5000 0.5000
Ni1 0.0000 0.0000 0.0000
# **Energy above the lowest structure with this stoichiometry**: 0 meV/atom
# **Calculated total energy**: -27.97 eV/f.u.

---

(12)
# GGA-PBEsol Tb6MgGe2S14, relaxed
data_Tb6MgGe2S14
_chemical_formula_sum 'Tb6 Mg1 Ge2 S14'
_cell_length_a 9.8005
_cell_length_b 9.8005
_cell_length_c 5.6368
_cell_angle_alpha 90.00
_cell_angle_beta 90.00
_cell_angle_gamma 120.00
_space_group_name_H-M_alt 'P 3'
_space_group_IT_number 143
loop_
_space_group_symop_operation_xyz
'x,y,z'
'-y,x-y,z'
'-x+y,-x,z'
loop_
_atom_site_label
_atom_site_fract_x
_atom_site_fract_y
_atom_site_fract_z
Tb1 0.0241 0.5596 0.0000
Tb2 0.3083 0.1058 0.5063
Mg1 0.6667 0.3333 0.2763
Ge1 0.0000 0.0000 0.9258
Ge2 0.3333 0.6667 0.4172
S1 0.0000 0.0000 0.3113
S2 0.0860 0.8495 0.7629
S3 0.1830 0.4297 0.2568
S4 0.3333 0.6667 0.8036
S5 0.4132 0.1755 0.0358
S6 0.5065 0.4266 0.5199
# **E_form (uncorrected)**: -1.6381 eV/atom
# **Calculated total energy**: -140.71 eV/f.u.

---

(13)
# GGA-PBEsol CaHg2Cl, relaxed
data_CaHg2Cl
_chemical_formula_sum 'Ca4 Hg8 Cl4'
_cell_length_a 5.7135
_cell_length_b 5.8367
_cell_length_c 12.0557
_cell_angle_alpha 90.00
_cell_angle_beta 90.00
_cell_angle_gamma 90.00
_space_group_name_H-M_alt 'F m m m'
_space_group_IT_number 69
_space_group_name_Hall '-F 2 2'
loop_
_atom_site_label
_atom_site_fract_x
_atom_site_fract_y
_atom_site_fract_z
Ca1 0.0000 0.0000 0.0000
Hg1 0.0000 0.2500 0.2500
Cl1 0.0000 0.0000 0.5000
# **E_form (uncorrected)**: -0.8583 eV/atom
# **Energy above the lowest structure with this stoichiometry**: 7 meV/atom
# **Calculated total energy**: -8.71 eV/f.u.

---

(14)
# GGA-PBEsol NiRuPt2, relaxed
data_NiRuPt2
_chemical_formula_sum 'Ni1 Ru1 Pt2'
_cell_length_a 2.6906
_cell_length_b 3.7746
_cell_length_c 5.3054
_cell_angle_alpha 90.00
_cell_angle_beta 90.00
_cell_angle_gamma 90.00
_space_group_name_H-M_alt 'P m m m'
_space_group_IT_number 47
loop_
_space_group_symop_operation_xyz
'x,y,z'
'-x,-y,-z'
'-x,-y,z'
'x,y,-z'
'x,-y,-z'
'-x,y,z'
'-x,y,-z'
'x,-y,z'
loop_
_atom_site_label
_atom_site_fract_x
_atom_site_fract_y
_atom_site_fract_z
Ni1 0.0000 0.0000 0.0000
Ru1 0.0000 0.0000 0.5000
Pt1 0.5000 0.5000 0.2480
# **Energy above the lowest structure with this stoichiometry**: 11 meV/atom
# **Calculated total energy**: -30.30 eV/f.u.

---

(15)
# GGA-PBEsol LaTcTe, relaxed
data_LaTcTe
_chemical_formula_sum 'La2 Tc2 Te2'
_cell_length_a 3.3537
_cell_length_b 3.3537
_cell_length_c 11.8827
_cell_angle_alpha 90.00
_cell_angle_beta 90.00
_cell_angle_gamma 90.00
_space_group_name_H-M_alt 'I 4 m m'
_space_group_IT_number 107
_space_group_name_Hall 'I 4 -2'
loop_
_atom_site_label
_atom_site_fract_x
_atom_site_fract_y
_atom_site_fract_z
La1 0.0000 0.0000 0.0000
Tc1 0.0000 0.0000 0.6775
Te1 0.0000 0.0000 0.2877
# **E_form (uncorrected)**: -0.2561 eV/atom
# **Calculated total energy**: -20.91 eV/f.u.

---

(16)
# GGA-PBEsol SrMn2Se, relaxed
data_SrMn2Se
_chemical_formula_sum 'Sr1 Mn2 Se1'
_cell_length_a 3.4631
_cell_length_b 3.4631
_cell_length_c 6.8504
_cell_angle_alpha 90.00
_cell_angle_beta 90.00
_cell_angle_gamma 90.00
_space_group_name_H-M_alt 'P 4 m m'
_space_group_IT_number 99
loop_
_space_group_symop_operation_xyz
'x,y,z'
'-y,x,z'
'-x,-y,z'
'y,-x,z'
'-x,y,z'
'y,x,z'
'x,-y,z'
'-y,-x,z'
loop_
_atom_site_label
_atom_site_fract_x
_atom_site_fract_y
_atom_site_fract_z
Sr1 0.0000 0.0000 0.0000
Mn1 0.0000 0.0000 0.5127
Mn2 0.5000 0.5000 0.3287
Se1 0.5000 0.5000 0.6954
# **E_form (uncorrected)**: 0.0664 eV/atom
# **Calculated total energy**: -24.95 eV/f.u.

---

(17)
# GGA-PBEsol Hf2InC, relaxed
data_Hf2InC
_chemical_formula_sum 'Hf4 In2 C2'
_cell_length_a 3.2874
_cell_length_b 3.2874
_cell_length_c 14.6987
_cell_angle_alpha 90.00
_cell_angle_beta 90.00
_cell_angle_gamma 120.00
_space_group_name_H-M_alt 'P 63/m m c'
_space_group_IT_number 194
_space_group_name_Hall '-P 6c 2c'
loop_
_atom_site_label
_atom_site_fract_x
_atom_site_fract_y
_atom_site_fract_z
Hf1 0.3333 0.6667 0.0823
In1 0.3333 0.6667 0.7500
C1 0.0000 0.0000 0.0000
# **Calculated total energy**: -36.77 eV/f.u.

---

(18)
# GGA-PBEsol TcPt2W, relaxed
data_TcPt2W
_chemical_formula_sum 'Tc1 Pt2 W1'
_cell_length_a 2.7248
_cell_length_b 4.4302
_cell_length_c 4.8671
_cell_angle_alpha 90.00
_cell_angle_beta 90.00
_cell_angle_gamma 90.00
_space_group_name_H-M_alt 'P m m 2'
_space_group_IT_number 25
loop_
_space_group_symop_operation_xyz
'x,y,z'
'-x,-y,z'
'-x,y,z'
'x,-y,z'
loop_
_atom_site_label
_atom_site_fract_x
_atom_site_fract_y
_atom_site_fract_z
Tc1 0.0000 0.0000 0.0000
Pt1 0.5000 0.0000 0.5017
Pt2 0.5000 0.5000 0.1765
W1 0.0000 0.5000 0.6828
# **Energy above the lowest structure with this stoichiometry**: 0 meV/atom
# **Calculated total energy**: -39.97 eV/f.u.

---

(19)
# GGA-PBEsol Ti2NbTc, relaxed
data_Ti2NbTc
_chemical_formula_sum 'Ti8 Nb4 Tc4'
_cell_length_a 6.2830
_cell_length_b 6.2830
_cell_length_c 6.2830
_cell_angle_alpha 90.00
_cell_angle_beta 90.00
_cell_angle_gamma 90.00
_space_group_name_H-M_alt 'F m -3 m'
_space_group_IT_number 225
_space_group_name_Hall '-F 4 2 3'
loop_
_atom_site_label
_atom_site_fract_x
_atom_site_fract_y
_atom_site_fract_z
Ti1 0.2500 0.2500 0.2500
Nb1 0.0000 0.0000 0.0000
Tc1 0.0000 0.0000 0.5000
# **Calculated total energy**: -39.31 eV/f.u.

---

(20)
# GGA-PBEsol LaYBr2, relaxed
data_LaYBr2
_chemical_formula_sum 'La3 Y3 Br6'
_cell_length_a 3.6060
_cell_length_b 3.6060
_cell_length_c 27.2164
_cell_angle_alpha 90.00
_cell_angle_beta 90.00
_cell_angle_gamma 120.00
_space_group_name_H-M_alt 'R -3 m'
_space_group_IT_number 166
_space_group_name_Hall '-R 3 2"'
loop_
_atom_site_label
_atom_site_fract_x
_atom_site_fract_y
_atom_site_fract_z
La1 0.0000 0.0000 0.0000
Y1 0.0000 0.0000 0.5000
Br1 0.0000 0.0000 0.2477
# **E_form (uncorrected)**: -1.1820 eV/atom
# **Energy above the lowest structure with this stoichiometry**: 2 meV/atom
# **Calculated total energy**: -20.64 eV/f.u.